! PBE SiTcOs2, relaxed; values from VASP
&SYSTEM
  ibrav = 0, nat = 4, ntyp = 3
/
ATOMIC_SPECIES
Si 28.09 Si.upf
Tc 98.00 Tc.upf
Os 190.23 Os.upf
ATOMIC_POSITIONS angstrom
Si 0.000 0.000 0.000
Tc 0.000 0.000 4.223
Os 1.439 0.000 1.935
Os 1.439 0.000 6.510
CELL_PARAMETERS angstrom
1.439 -2.349 0.000
1.439 2.349 0.000
0.000 0.000 8.446
! Crystal system: orthorhombic
! Magnetization, μB/atom: 0.0603
! Uncorrected formation energy, eV/atom: 0.3406

=====

! PBE Sc2Se, relaxed; values from VASP
&SYSTEM
  ibrav = 0, nat = 3, ntyp = 2
/
ATOMIC_SPECIES
Sc 44.96 Sc.upf
Se 78.96 Se.upf
ATOMIC_POSITIONS angstrom
Sc 0.000 2.098 1.287
Sc 1.817 1.049 4.689
Se 0.000 0.000 2.988
CELL_PARAMETERS angstrom
3.633 0.000 0.000
-1.817 3.147 0.000
0.000 0.000 5.976
! Crystal system: trigonal
! Magnetization, μB/atom: 0.0056
! Uncorrected formation energy, eV/atom: -1.0098

=====

! PBE La2TcBr, relaxed; values from VASP
&SYSTEM
  ibrav = 0, nat = 4, ntyp = 3
/
ATOMIC_SPECIES
La 138.91 La.upf
Tc 98.00 Tc.upf
Br 79.90 Br.upf
ATOMIC_POSITIONS angstrom
La 1.848 1.848 1.848
La 5.545 5.545 5.545
Tc 0.000 0.000 0.000
Br 3.696 3.696 3.696
CELL_PARAMETERS angstrom
0.000 3.696 3.696
3.696 0.000 3.696
3.696 3.696 0.000
! Crystal system: cubic
! Magnetization, μB/atom: 0.0001
! Uncorrected formation energy, eV/atom: -0.2257
! Polymorph energy (0 for the lowest one), eV per atom: 0.427

=====

! PBE PuThCd6, relaxed; values from VASP
&SYSTEM
  ibrav = 0, nat = 8, ntyp = 3
/
ATOMIC_SPECIES
Pu 244.00 Pu.upf
Th 232.04 Th.upf
Cd 112.41 Cd.upf
ATOMIC_POSITIONS angstrom
Pu 0.000 0.000 0.000
Th 2.459 0.000 2.849
Cd 0.000 0.000 5.044
Cd 0.000 -1.522 8.030
Cd 0.000 1.522 8.030
Cd 2.459 -1.555 5.881
Cd 2.459 1.555 5.881
Cd 2.459 0.000 8.934
CELL_PARAMETERS angstrom
4.917 0.000 0.000
0.000 3.688 5.541
0.000 -3.688 5.541
! Energy of formation, eV per formula unit: -0.70
! Crystal system: orthorhombic
! Magnetization, μB/atom: 0.7492

=====

! PBE Pm2NdHoTe5, relaxed; values from VASP
&SYSTEM
  ibrav = 0, nat = 9, ntyp = 4
/
ATOMIC_SPECIES
Pm 145.00 Pm.upf
Nd 144.24 Nd.upf
Ho 164.93 Ho.upf
Te 127.60 Te.upf
ATOMIC_POSITIONS angstrom
Pm 0.000 0.000 1.829
Pm 0.000 0.000 9.975
Nd 2.757 2.757 5.902
Ho 2.757 2.757 0.000
Te 0.000 0.000 5.902
Te 0.000 2.757 0.000
Te 2.757 0.000 0.000
Te 2.757 2.757 2.947
Te 2.757 2.757 8.857
CELL_PARAMETERS angstrom
5.515 0.000 0.000
0.000 5.515 0.000
0.000 0.000 11.804
! Crystal system: tetragonal
! Magnetization, μB/atom: 0.0654
! Uncorrected formation energy, eV/atom: -0.8131

=====

! PBE TlGaO2, relaxed; values from VASP
&SYSTEM
  ibrav = 0, nat = 8, ntyp = 3
/
ATOMIC_SPECIES
Tl 204.38 Tl.upf
Ga 69.72 Ga.upf
O 16.00 O.upf
ATOMIC_POSITIONS angstrom
Tl 2.223 3.176 3.506
Tl 3.504 -3.176 1.169
Ga 3.504 0.146 1.169
Ga 2.223 -0.146 3.506
O 2.074 1.031 1.998
O 0.793 -1.031 4.335
O 4.934 1.031 0.339
O 3.653 -1.031 2.677
CELL_PARAMETERS angstrom
4.144 -4.457 0.000
4.144 4.457 0.000
-2.561 0.000 4.675
! Crystal system: monoclinic
! Magnetization, μB/atom: 0.0000
! Uncorrected formation energy, eV/atom: -1.3237
! Polymorph energy (0 for the lowest one), eV per atom: 0.082

=====

! PBE CdCo3H, relaxed; values from VASP
&SYSTEM
  ibrav = 0, nat = 5, ntyp = 3
/
ATOMIC_SPECIES
Cd 112.41 Cd.upf
Co 58.93 Co.upf
H 1.01 H.upf
ATOMIC_POSITIONS angstrom
Cd 0.000 0.000 0.000
Co 0.000 0.000 2.411
Co 0.000 2.411 0.000
Co 2.411 0.000 0.000
H 2.411 2.411 2.411
CELL_PARAMETERS angstrom
4.822 0.000 0.000
0.000 4.822 0.000
0.000 0.000 4.822
! Crystal system: cubic
! Magnetization, μB/atom: 1.2160
! Polymorph energy (0 for the lowest one), eV per atom: 1.984

=====

! PBE CaTc2P, relaxed; values from VASP
&SYSTEM
  ibrav = 0, nat = 4, ntyp = 3
/
ATOMIC_SPECIES
Ca 40.08 Ca.upf
Tc 98.00 Tc.upf
P 30.97 P.upf
ATOMIC_POSITIONS angstrom
Ca 0.000 0.000 0.000
Tc 0.795 0.000 3.093
Tc 7.376 0.000 1.473
P 4.085 0.000 2.283
CELL_PARAMETERS angstrom
5.005 -1.477 0.000
5.005 1.477 0.000
-1.840 0.000 4.566
! Energy of formation, eV per formula unit: 0.11
! Crystal system: monoclinic
! Magnetization, μB/atom: 0.0000

=====

! PBE La2Nd2SmCd, relaxed; values from VASP
&SYSTEM
  ibrav = 0, nat = 12, ntyp = 4
/
ATOMIC_SPECIES
La 138.91 La.upf
Nd 144.24 Nd.upf
Sm 150.36 Sm.upf
Cd 112.41 Cd.upf
ATOMIC_POSITIONS angstrom
La 1.376 1.405 0.000
La 1.981 6.501 2.926
La 4.733 3.690 2.926
La 5.337 8.785 0.000
Nd 1.361 3.019 2.926
Nd 1.996 8.114 0.000
Nd 4.717 2.077 0.000
Nd 5.353 7.172 2.926
Sm 0.000 5.095 0.000
Sm 3.357 0.000 2.926
Cd 0.000 0.000 2.926
Cd 3.357 5.095 0.000
CELL_PARAMETERS angstrom
6.713 0.000 0.000
0.000 10.191 0.000
0.000 0.000 5.852
! Energy of formation, eV per formula unit: 0.25
! Crystal system: orthorhombic
! Magnetization, μB/atom: 0.0000

=====

! PBE BeMo3, relaxed; values from VASP
&SYSTEM
  ibrav = 0, nat = 4, ntyp = 2
/
ATOMIC_SPECIES
Be 9.01 Be.upf
Mo 95.94 Mo.upf
ATOMIC_POSITIONS angstrom
Be 0.000 0.000 0.000
Mo 1.596 0.000 2.178
Mo 0.000 0.000 4.271
Mo 0.000 2.130 2.093
CELL_PARAMETERS angstrom
-1.596 2.130 4.271
1.596 -2.130 4.271
1.596 2.130 -4.271
! Energy of formation, eV per formula unit: 0.61
! Crystal system: orthorhombic
! Magnetization, μB/atom: 0.0000
! Polymorph energy (0 for the lowest one), eV per atom: 0.167

=====

! PBE Ca2AlIn8, relaxed; values from VASP
&SYSTEM
  ibrav = 0, nat = 11, ntyp = 3
/
ATOMIC_SPECIES
Ca 40.08 Ca.upf
Al 26.98 Al.upf
In 114.82 In.upf
ATOMIC_POSITIONS angstrom
Ca 0.000 0.000 2.282
Ca 0.000 0.000 9.793
Al 0.000 0.000 6.037
In 0.000 2.451 0.000
In 0.000 2.451 4.445
In 0.000 2.451 7.629
In 2.451 0.000 0.000
In 2.451 0.000 4.445
In 2.451 0.000 7.629
In 2.451 2.451 2.311
In 2.451 2.451 9.764
CELL_PARAMETERS angstrom
4.903 0.000 0.000
0.000 4.903 0.000
0.000 0.000 12.075
! Energy of formation, eV per formula unit: -2.22
! Crystal system: tetragonal
! Magnetization, μB/atom: 0.0000

=====

! PBE Ag4H2Br5, relaxed; values from VASP
&SYSTEM
  ibrav = 0, nat = 11, ntyp = 3
/
ATOMIC_SPECIES
Ag 107.87 Ag.upf
H 1.01 H.upf
Br 79.90 Br.upf
ATOMIC_POSITIONS angstrom
Ag 1.565 1.907 0.415
Ag 3.966 9.372 5.536
Ag 6.068 0.673 0.746
Ag 8.469 8.139 5.867
H 4.282 3.253 2.170
H 5.752 6.793 4.112
Br 3.791 6.795 4.739
Br 2.835 3.308 2.622
Br 3.527 0.000 0.000
Br 7.200 6.738 3.660
Br 6.244 3.251 1.543
CELL_PARAMETERS angstrom
7.053 0.000 0.000
0.929 7.121 0.000
2.053 2.924 6.282
! Crystal system: triclinic
! Magnetization, μB/atom: 0.0000

=====

! PBE Er2ScAl3Zn6, relaxed; values from VASP
&SYSTEM
  ibrav = 0, nat = 12, ntyp = 4
/
ATOMIC_SPECIES
Er 167.26 Er.upf
Sc 44.96 Sc.upf
Al 26.98 Al.upf
Zn 65.41 Zn.upf
ATOMIC_POSITIONS angstrom
Er 0.000 0.000 3.751
Er 0.000 0.000 13.953
Sc 0.000 0.000 8.852
Al 1.947 1.947 0.000
Al 1.947 1.947 4.940
Al 1.947 1.947 12.764
Zn 0.000 1.947 6.693
Zn 0.000 1.947 11.010
Zn 1.947 0.000 6.693
Zn 1.947 0.000 11.010
Zn 1.947 1.947 2.410
Zn 1.947 1.947 15.293
CELL_PARAMETERS angstrom
3.894 0.000 0.000
0.000 3.894 0.000
0.000 0.000 17.704
! Energy of formation, eV per formula unit: 0.64
! Crystal system: tetragonal
! Magnetization, μB/atom: 0.0000

=====

! PBE Er2TmSc2, relaxed; values from VASP
&SYSTEM
  ibrav = 0, nat = 5, ntyp = 3
/
ATOMIC_SPECIES
Er 167.26 Er.upf
Tm 168.93 Tm.upf
Sc 44.96 Sc.upf
ATOMIC_POSITIONS angstrom
Er 0.000 0.000 0.000
Er 1.676 0.000 3.124
Tm 0.000 0.000 9.823
Sc 0.000 0.000 6.021
Sc 1.676 0.000 12.776
CELL_PARAMETERS angstrom
3.351 0.000 0.000
0.000 2.736 7.848
0.000 -2.736 7.848
! Energy of formation, eV per formula unit: 0.75
! Crystal system: orthorhombic
! Magnetization, μB/atom: 0.1409
! Polymorph energy (0 for the lowest one), eV per atom: 0.073

=====

! PBE Tb4Y2Sc3, relaxed; values from VASP
&SYSTEM
  ibrav = 0, nat = 9, ntyp = 3
/
ATOMIC_SPECIES
Tb 158.93 Tb.upf
Y 88.91 Y.upf
Sc 44.96 Sc.upf
ATOMIC_POSITIONS angstrom
Tb -1.008 0.000 2.809
Tb 3.000 0.000 5.563
Tb 11.105 0.000 2.779
Tb 15.113 0.000 5.533
Y -1.024 0.000 8.285
Y 15.129 0.000 0.057
Sc 5.030 0.000 2.797
Sc 9.069 0.000 0.000
Sc 9.074 0.000 5.545
CELL_PARAMETERS angstrom
9.069 -1.752 0.000
9.069 1.752 0.000
-4.034 0.000 8.342
! Energy of formation, eV per formula unit: 0.28
! Crystal system: monoclinic
! Magnetization, μB/atom: 0.0000

=====

! PBE AcHo2In2, relaxed; values from VASP
&SYSTEM
  ibrav = 0, nat = 10, ntyp = 3
/
ATOMIC_SPECIES
Ac 227.00 Ac.upf
Ho 164.93 Ho.upf
In 114.82 In.upf
ATOMIC_POSITIONS angstrom
Ac 0.000 0.000 3.118
Ac 0.000 0.000 21.779
Ho 2.594 0.000 6.224
Ho 0.000 0.000 10.788
Ho 0.000 0.000 14.109
Ho 0.000 2.594 6.224
In 2.594 0.000 0.000
In 0.000 0.000 7.853
In 0.000 2.594 0.000
In 0.000 0.000 17.044
CELL_PARAMETERS angstrom
-2.594 2.594 12.448
2.594 -2.594 12.448
2.594 2.594 -12.448
! Energy of formation, eV per formula unit: -1.08
! Crystal system: tetragonal
! Magnetization, μB/atom: 0.0324

=====

! PBE Cr2GaNi, relaxed; values from VASP
&SYSTEM
  ibrav = 0, nat = 8, ntyp = 3
/
ATOMIC_SPECIES
Cr 52.00 Cr.upf
Ga 69.72 Ga.upf
Ni 58.69 Ni.upf
ATOMIC_POSITIONS angstrom
Cr 4.964 1.523 -0.600
Cr 1.523 1.655 0.600
Cr -1.655 1.787 1.799
Cr 1.787 1.655 2.999
Ga 3.310 0.000 1.200
Ga 0.000 0.000 2.399
Ni 0.000 0.000 0.000
Ni 0.000 3.310 1.200
CELL_PARAMETERS angstrom
-3.310 3.310 2.399
3.310 -3.310 2.399
3.310 3.310 -2.399
! Energy of formation, eV per formula unit: 2.13
! Crystal system: tetragonal
! Magnetization, μB/atom: 0.0001

=====

! PBE ErTm4Sc2, relaxed; values from VASP
&SYSTEM
  ibrav = 0, nat = 7, ntyp = 3
/
ATOMIC_SPECIES
Er 167.26 Er.upf
Tm 168.93 Tm.upf
Sc 44.96 Sc.upf
ATOMIC_POSITIONS angstrom
Er 0.000 0.000 0.000
Tm 0.038 1.732 2.806
Tm 1.080 0.000 8.326
Tm 2.878 0.000 2.244
Tm 3.919 1.732 7.764
Sc -0.879 0.000 5.285
Sc 1.979 1.732 5.285
CELL_PARAMETERS angstrom
5.716 0.000 0.000
0.000 3.463 0.000
-1.758 0.000 10.570
! Energy of formation, eV per formula unit: 1.31
! Crystal system: monoclinic
! Magnetization, μB/atom: 0.0000
! Polymorph energy (0 for the lowest one), eV per atom: 0.101

=====

! PBE NbHN3, relaxed; values from VASP
&SYSTEM
  ibrav = 0, nat = 5, ntyp = 3
/
ATOMIC_SPECIES
Nb 92.91 Nb.upf
H 1.01 H.upf
N 14.01 N.upf
ATOMIC_POSITIONS angstrom
Nb 0.000 0.000 0.000
H 2.048 2.048 2.048
N 0.000 0.000 2.048
N 0.000 2.048 0.000
N 2.048 0.000 0.000
CELL_PARAMETERS angstrom
4.096 0.000 0.000
0.000 4.096 0.000
0.000 0.000 4.096
! Crystal system: cubic
! Magnetization, μB/atom: 0.4338

=====

! PBE YBe3Ir, relaxed; values from VASP
&SYSTEM
  ibrav = 0, nat = 5, ntyp = 3
/
ATOMIC_SPECIES
Y 88.91 Y.upf
Be 9.01 Be.upf
Ir 192.22 Ir.upf
ATOMIC_POSITIONS angstrom
Y 0.000 0.000 0.000
Be 0.000 2.131 2.131
Be 2.131 0.000 2.131
Be 2.131 2.131 0.000
Ir 2.131 2.131 2.131
CELL_PARAMETERS angstrom
4.263 0.000 0.000
0.000 4.263 0.000
0.000 0.000 4.263
! Energy of formation, eV per formula unit: -1.56
! Crystal system: cubic
! Magnetization, μB/atom: 0.0000
! Polymorph energy (0 for the lowest one), eV per atom: 0.065

=====

Total energy list, top to bottom, in eV/atom: -9.222; -6.392; -5.699; -3.492; -4.653; -5.151; -2.901; -7.010; -4.129; -8.902; -2.898; -2.577; -2.807; -5.102; -5.574; -3.964; -6.482; -4.829; -6.297; -5.613